# Cs2VNF6 PBE with a Hubbard U relaxed
# energy: -98.85 eV for the cell shown
# size of the total moment: 8.00 μB per cell
data_Cs2VNF6
_space_group_name_H-M_alt 'I 4/m m m'
_space_group_IT_number 139
_space_group_name_Hall '-I 4 2'
_cell_length_a 6.6730
_cell_length_b 6.6730
_cell_length_c 9.2165
_cell_angle_alpha 90.00
_cell_angle_beta 90.00
_cell_angle_gamma 90.00
loop_
_atom_site_label
_atom_site_fract_x
_atom_site_fract_y
_atom_site_fract_z
Cs1 0.0000 0.5000 0.2500
V1 0.0000 0.0000 0.0000
N1 0.0000 0.0000 0.5000
F1 0.0000 0.0000 0.2007
F2 0.2015 0.2015 0.0000